Below is a geometry-optimized YCd2Ge2 structure, with properties calculated at the PBE-GGA level.

Results
DFT formation energy = -38 kJ/mol of formula units
ΔE to the lowest computed polymorph = 168 meV/atom

Structure (CIF):
```
data_YCd2Ge2
_space_group_name_H-M_alt 'P 1'
_space_group_IT_number 1
_cell_length_a 8.1089
_cell_length_b 8.1089
_cell_length_c 3.4012
_cell_angle_alpha 90.00
_cell_angle_beta 90.00
_cell_angle_gamma 90.00
loop_
_space_group_symop_operation_xyz
'x,y,z'
loop_
_atom_site_label
_atom_site_fract_x
_atom_site_fract_y
_atom_site_fract_z
Ge1 0.1808 0.6808 0.5000
Ge2 0.8192 0.3192 0.5000
Ge3 0.3192 0.1808 0.5000
Ge4 0.6808 0.8192 0.5000
Y1 0.5000 0.5000 0.0000
Y2 0.0000 0.0000 0.0000
Cd1 0.8781 0.6219 0.0000
Cd2 0.6219 0.1219 0.0000
Cd3 0.3781 0.8781 0.0000
Cd4 0.1219 0.3781 0.0000
```